# 1
Entry from Alexandria via LeMat-Bulk: an optimized crystal structure of Na2LiSnHg6 (PBE).

Results
DFT formation energy = -1.31 eV/f.u.
theoretical density = 8.47 g/cm³
calculated total energy = -1.17 eV per atom

a = 6.684 Å, b = 8.193 Å, c = 6.797 Å
α = 48.48°, β = 83.09°, γ = 94.93°
Sites, in units of the cell vectors:
Na  0.144  0.625  0.615
Na  0.856  0.375  0.385
Hg  0.837  0.827  0.765
Hg  0.399  0.858  0.929
Hg  0.344  0.350  0.493
Hg  0.656  0.650  0.507
Hg  0.601  0.142  0.071
Hg  0.163  0.173  0.235
Li  0.500  0.500  0.000
Sn  0.000  0.000  0.000

---

# 2
Entry from Alexandria via LeMat-Bulk: an optimized crystal structure of Nd2DyErTm5 (PBE).

Results
DFT formation energy = 2.48 eV/f.u.
theoretical density = 8.54 g/cm³
calculated total energy = -4.29 eV per atom

a = 8.559 Å, b = 8.559 Å, c = 9.846 Å
α = 115.76°, β = 115.76°, γ = 90.00°
Sites, in units of the cell vectors:
Er  0.250  0.750  0.500
Er  0.750  0.250  0.500
Tm  0.073  0.573  0.719
Tm  0.573  0.646  0.719
Tm  0.000  0.000  0.000
Tm  0.427  0.354  0.281
Tm  0.927  0.427  0.281
Tm  0.146  0.073  0.719
Tm  0.854  0.927  0.281
Tm  0.500  0.500  0.000
Tm  0.646  0.146  0.719
Tm  0.354  0.854  0.281
Nd  0.882  0.618  0.000
Nd  0.118  0.382  0.000
Nd  0.618  0.118  0.000
Nd  0.382  0.882  0.000
Dy  0.750  0.750  0.500
Dy  0.250  0.250  0.500

---

# 3
Entry from Alexandria via LeMat-Bulk: an optimized crystal structure of Mg6GaW (PBE).

Results
DFT formation energy = 1.76 eV/f.u.
theoretical density = 4.23 g/cm³
calculated total energy = -2.97 eV per atom

a = 6.106 Å, b = 6.106 Å, c = 4.862 Å
α = 90.00°, β = 90.00°, γ = 120.23°
Sites, in units of the cell vectors:
Mg  0.173  0.332  0.000
Mg  0.668  0.332  0.000
Mg  0.848  0.676  0.500
Mg  0.832  0.168  0.500
Mg  0.324  0.152  0.500
Mg  0.668  0.827  0.000
W  0.176  0.824  0.000
Ga  0.311  0.689  0.500

---

# 4
Entry from Alexandria via LeMat-Bulk: an optimized crystal structure of Sm3AgAu2 (PBE).

Results
DFT formation energy = -3.77 eV/f.u.
theoretical density = 10.53 g/cm³
calculated total energy = -4.56 eV per atom

a = 5.216 Å, b = 5.216 Å, c = 12.754 Å
α = 90.00°, β = 90.00°, γ = 120.00°
Sites, in units of the cell vectors:
Sm  0.333  0.667  0.921
Sm  0.333  0.667  0.418
Sm  0.667  0.333  0.582
Sm  0.667  0.333  0.079
Sm  0.000  0.000  0.753
Sm  0.000  0.000  0.247
Au  0.000  0.000  0.000
Au  0.000  0.000  0.500
Au  0.667  0.333  0.825
Au  0.333  0.667  0.175
Ag  0.333  0.667  0.670
Ag  0.667  0.333  0.330